First-principles (PBE) data for an optimized crystal structure of BaTaN3, as listed in the Alexandria database.

Its uncorrected formation energy is 2733.5 meV/atom. The uncorrected energy is -5.0168 eV per atom.

Lattice parameters (Å, degrees): 4.351 4.351 4.351 90.00 90.00 90.00
Space group Pm-3m (No. 221)
Inequivalent atoms, fractional coordinates:
Ba 0.000 0.000 0.000 [1 per cell]
Ta 0.500 0.500 0.500 [1 per cell]
N 0.000 0.000 0.500 [3 per cell]


First-principles (PBE) data for an optimized crystal structure of BaTaN2, as listed in the Alexandria database.

Its uncorrected formation energy is -548.6 meV/atom. The uncorrected energy is -8.1552 eV per atom.

Lattice parameters (Å, degrees): 6.415 9.863 5.491 90.00 90.00 90.00
Space group Cmcm (No. 63)
Inequivalent atoms, fractional coordinates:
Ba 0.000 0.143 0.250 [4 per cell]
Ta 0.000 0.500 0.000 [4 per cell]
N 0.215 0.434 0.250 [8 per cell]


First-principles (PBE) data for an optimized crystal structure of BaTaN2, as listed in the Alexandria database.

Its uncorrected formation energy is -960.7 meV/atom. The uncorrected energy is -8.5673 eV per atom.

Lattice parameters (Å, degrees): 6.536 7.807 6.133 90.00 90.00 90.00
Space group Pna2_1 (No. 33)
Inequivalent atoms, fractional coordinates:
Ba 0.110 0.131 0.000 [4 per cell]
Ta 0.069 0.632 0.981 [4 per cell]
N 0.023 0.547 0.681 [4 per cell]
N 0.127 0.174 0.502 [4 per cell]


First-principles (PBE) data for an optimized crystal structure of BaTaN2, as listed in the Alexandria database.

Its uncorrected formation energy is -877.5 meV/atom. The uncorrected energy is -8.4841 eV per atom.

Lattice parameters (Å, degrees): 5.500 5.500 10.354 90.00 90.00 90.00
Space group I-42d (No. 122)
Inequivalent atoms, fractional coordinates:
Ba 0.000 0.000 0.000 [4 per cell]
Ta 0.000 0.000 0.500 [4 per cell]
N 0.116 0.250 0.625 [8 per cell]